No. 1
This record from the Open Quantum Materials Database describes crystalline Y3Si4Au2 at its relaxed geometry. The functional is PBE.

Cell: 5.798 5.798 8.214 Å, 101.49 101.49 42.66°
Fractional coordinates of all 9 atoms:
Y  0.000  0.000  0.000
Y  0.337  0.337  0.327
Y  0.663  0.663  0.673
Si  0.055  0.055  0.392
Si  0.276  0.276  0.947
Si  0.724  0.724  0.053
Si  0.945  0.945  0.608
Au  0.386  0.386  0.719
Au  0.614  0.614  0.281

Calculated values
Symmetry: C2/m
Raw total energy: -54.853 eV per formula unit

No. 2
This record from the Open Quantum Materials Database describes crystalline Y3Zn2Si4Au2 at its relaxed geometry. The functional is PBE.

Cell: 12.651 12.651 12.651 Å, 161.23 161.04 26.80°
Fractional coordinates of all 11 atoms:
Y  0.000  0.000  0.000
Y  0.356  0.856  0.500
Y  0.644  0.144  0.500
Zn  0.093  0.593  0.500
Zn  0.907  0.407  0.500
Si  0.188  0.688  0.500
Si  0.453  0.453  0.000
Si  0.547  0.547  0.000
Si  0.812  0.312  0.500
Au  0.251  0.251  0.000
Au  0.749  0.749  0.000

Calculated values
Symmetry: Immm
Distance to the lowest polymorph of the same formula: 53 meV per atom

No. 3
This record from the Open Quantum Materials Database describes crystalline Y3Zn2Si4Au2 at its relaxed geometry. The functional is PBE.

Cell: 12.861 12.861 12.861 Å, 161.93 161.23 26.17°
Fractional coordinates of all 11 atoms:
Y  0.000  0.000  0.000
Y  0.354  0.854  0.500
Y  0.646  0.146  0.500
Zn  0.251  0.251  0.000
Zn  0.749  0.749  0.000
Si  0.191  0.691  0.500
Si  0.453  0.453  0.000
Si  0.547  0.547  0.000
Si  0.809  0.309  0.500
Au  0.095  0.595  0.500
Au  0.905  0.405  0.500

Calculated values
Symmetry: Immm
Distance to the lowest polymorph of the same formula: 0 meV per atom

no.,total moment (μB per formula unit)
1,0.00
2,0.00
3,0.01